[1]
Here is a relaxed structure of BaZnCd2In from the Alexandria database. Energies are from GGA-PBE.

Cell and atoms, written as CIF:
```
data_BaZnCd2In
_space_group_name_H-M_alt 'P 1'
_space_group_IT_number 1
_cell_length_a 4.7430
_cell_length_b 4.7684
_cell_length_c 12.2145
_cell_angle_alpha 90.00
_cell_angle_beta 90.00
_cell_angle_gamma 90.00
loop_
_space_group_symop_operation_xyz
'x,y,z'
loop_
_atom_site_label
_atom_site_type_symbol
_atom_site_fract_x
_atom_site_fract_y
_atom_site_fract_z
_atom_site_occupancy
Ba1 Ba 0.0000 0.0000 0.0000 1
Ba2 Ba 0.5000 0.5000 0.5000 1
Zn1 Zn 0.0000 0.0000 0.3860 1
Zn2 Zn 0.5000 0.5000 0.8860 1
Cd1 Cd 0.0000 0.0000 0.6109 1
Cd2 Cd 0.0000 0.5000 0.2593 1
Cd3 Cd 0.5000 0.0000 0.7593 1
Cd4 Cd 0.5000 0.5000 0.1109 1
In1 In 0.0000 0.5000 0.7591 1
In2 In 0.5000 0.0000 0.2591 1
```

Calculated values
Energy above the lowest structure with this stoichiometry   0.000 kcal/mol of atoms
Calculated formation energy   -0.2850 eV per atom
Space-group type   Imm2

***

[2]
Here is a relaxed structure of Ba2Zn4CdIn3 from the Alexandria database. Energies are from GGA-PBE.

Cell and atoms, written as CIF:
```
data_Ba2Zn4CdIn3
_space_group_name_H-M_alt 'P 1'
_space_group_IT_number 1
_cell_length_a 4.7291
_cell_length_b 4.7291
_cell_length_c 11.7346
_cell_angle_alpha 90.00
_cell_angle_beta 90.00
_cell_angle_gamma 90.00
loop_
_space_group_symop_operation_xyz
'x,y,z'
loop_
_atom_site_label
_atom_site_type_symbol
_atom_site_fract_x
_atom_site_fract_y
_atom_site_fract_z
_atom_site_occupancy
Ba1 Ba 0.0000 0.5000 0.2460 1
Ba2 Ba 0.5000 0.0000 0.7540 1
Zn1 Zn 0.0000 0.0000 0.0000 1
Zn2 Zn 0.0000 0.5000 0.6346 1
Zn3 Zn 0.5000 0.0000 0.3654 1
Zn4 Zn 0.5000 0.5000 0.0000 1
Cd1 Cd 0.0000 0.0000 0.5000 1
In1 In 0.0000 0.5000 0.8727 1
In2 In 0.5000 0.0000 0.1273 1
In3 In 0.5000 0.5000 0.5000 1
```

Calculated values
Calculated formation energy   -0.2731 eV per atom
Space-group type   P-4m2

***

The lowest calculated formation energy belongs to which entry?
BaZnCd2In

***

Among the records above, which one has the lowest calculated formation energy?
BaZnCd2In

***

Which of these has the lowest calculated formation energy?
BaZnCd2In